The following is a DFT calculation (GGA-PBE) of a geometry-optimized GdZrRu4 structure.

Computed properties:
calculated formation energy: -6.23 kcal/mol of atoms
symmetry: F-43m (216)
DOS at the Fermi energy: 0.97 states/eV per atom

a = 5.2862 Å, b = 5.2862 Å, c = 5.2862 Å
α = 60.00°, β = 60.00°, γ = 60.00°
With the nearest neighbours (Å) after each atom.
Element x y z (fractional)
Gd 0.0000 0.0000 0.0000  12 Ru 3.10, 4 Zr 3.24
Zr 0.7500 0.7500 0.7500  12 Ru 3.10, 4 Gd 3.24
Ru 0.3754 0.3754 0.3754  6 Ru 2.63-2.65
Ru 0.3754 0.3754 0.8738  6 Ru 2.63-2.65
Ru 0.3754 0.8738 0.3754  6 Ru 2.63-2.65
Ru 0.8738 0.3754 0.3754  6 Ru 2.63-2.65